Arrangement P

Computed, not measured: a geometry-optimized AgSb2TeC structure at the GGA-PBE level of DFT.

a = 4.771 Å, b = 4.771 Å, c = 4.856 Å
α = 90.00°, β = 90.00°, γ = 90.00°
Atoms (fractional coordinates):
Ag (0.000, 0.000, 0.000)
Sb (0.000, 0.500, 0.500)
Sb (0.500, 0.000, 0.500)
Te (0.500, 0.500, 0.000)
C (0.500, 0.500, 0.500)

---

Arrangement Q

Computed, not measured: a geometry-optimized AgSb2TeC structure at the GGA-PBE level of DFT.

a = 5.373 Å, b = 5.373 Å, c = 5.407 Å
α = 90.00°, β = 90.00°, γ = 90.00°
Atoms (fractional coordinates):
Ag (0.000, 0.000, 0.000)
Sb (0.000, 0.500, 0.000)
Sb (0.500, 0.000, 0.000)
Te (0.000, 0.000, 0.500)
C (0.500, 0.500, 0.500)

---

Which one is the least stable? From the structures above, arrangement Q.